! CeB2ClO4 | the Alexandria database | SCAN | single point on PBEsol structure; values from VASP
! SG	P-1
! uncorrected formation energy	-2.91	eV/atom
! total DFT energy (no corrections)	-231.228	eV for the cell shown
&SYSTEM
  ibrav = 0, nat = 16, ntyp = 4
/
ATOMIC_SPECIES
Ce 140.12 Ce.upf
B 10.81 B.upf
Cl 35.45 Cl.upf
O 16.00 O.upf
CELL_PARAMETERS angstrom
4.207 0.000 0.000
2.002 6.236 0.000
0.111 1.003 7.923
ATOMIC_POSITIONS angstrom
Ce 0.974 0.439 1.753
Ce 5.346 6.800 6.170
B 1.505 3.019 6.731
B 2.720 2.927 1.556
B 3.600 4.313 6.368
B 4.815 4.221 1.192
Cl 1.082 1.787 4.323
Cl 5.239 5.452 3.601
O 1.341 3.068 1.424
O 1.087 1.871 7.305
O 3.161 5.563 6.245
O 2.875 3.129 6.464
O 3.445 4.110 1.459
O 3.160 1.677 1.679
O 5.234 5.368 0.619
O 4.980 4.172 6.499



! CuSiTe | the Alexandria database | SCAN | single point on PBEsol structure; values from VASP
! SG	I4mm
! energy above the lowest structure with this stoichiometry	0.000	eV/atom
! uncorrected formation energy	0.25	eV/atom
! total DFT energy (no corrections)	-61.729	eV for the cell shown
&SYSTEM
  ibrav = 0, nat = 3, ntyp = 3
/
ATOMIC_SPECIES
Cu 63.55 Cu.upf
Si 28.09 Si.upf
Te 127.60 Te.upf
CELL_PARAMETERS angstrom
-1.576 1.576 6.080
1.576 -1.576 6.080
1.576 1.576 -6.080
ATOMIC_POSITIONS angstrom
Cu 0.000 0.000 0.000
Si 0.000 0.000 5.305
Te 0.000 0.000 2.668



! InHO2 | the Alexandria database | SCAN | single point on PBEsol structure; values from VASP
! SG	Pa-3
! total DFT energy (no corrections)	-221.343	eV for the cell shown
&SYSTEM
  ibrav = 0, nat = 16, ntyp = 3
/
ATOMIC_SPECIES
In 114.82 In.upf
H 1.01 H.upf
O 16.00 O.upf
CELL_PARAMETERS angstrom
5.323 0.000 0.000
0.000 5.323 0.000
0.000 0.000 5.323
ATOMIC_POSITIONS angstrom
In 0.000 0.000 0.000
In 0.000 2.661 2.661
In 2.661 0.000 2.661
In 2.661 2.661 0.000
H 0.000 0.000 2.661
H 0.000 2.661 0.000
H 2.661 0.000 0.000
H 2.661 2.661 2.661
O 0.699 3.361 4.623
O 0.699 4.623 1.962
O 1.962 0.699 4.623
O 1.962 1.962 1.962
O 3.361 3.361 3.361
O 3.361 4.623 0.699
O 4.623 0.699 3.361
O 4.623 1.962 0.699



! CoBrCl | the Alexandria database | SCAN | single point on PBEsol structure; values from VASP
! SG	P3m1
! energy above the lowest structure with this stoichiometry	0.000	eV/atom
! uncorrected formation energy	-0.57	eV/atom
! total DFT energy (no corrections)	-46.462	eV for the cell shown
&SYSTEM
  ibrav = 0, nat = 3, ntyp = 3
/
ATOMIC_SPECIES
Co 58.93 Co.upf
Br 79.90 Br.upf
Cl 35.45 Cl.upf
CELL_PARAMETERS angstrom
3.514 0.000 0.000
-1.757 3.043 0.000
0.000 0.000 6.127
ATOMIC_POSITIONS angstrom
Co 0.000 0.000 0.000
Br 0.000 2.029 4.645
Cl 1.757 1.014 1.282



! Sr2B5H2O11 | the Alexandria database | SCAN | single point on PBEsol structure; values from VASP
! SG	C2
! total DFT energy (no corrections)	-207.756	eV for the cell shown
&SYSTEM
  ibrav = 0, nat = 20, ntyp = 4
/
ATOMIC_SPECIES
Sr 87.62 Sr.upf
B 10.81 B.upf
H 1.01 H.upf
O 16.00 O.upf
CELL_PARAMETERS angstrom
5.058 -4.028 0.000
5.058 4.028 0.000
-3.865 0.000 5.026
ATOMIC_POSITIONS angstrom
Sr 0.449 0.000 2.085
Sr 5.803 0.000 2.941
B 2.648 -0.260 0.022
B 5.058 -0.902 0.000
B 3.369 -2.280 1.225
B 3.603 -0.260 5.004
B 2.882 -2.280 3.801
H 3.748 1.621 1.253
H 2.504 1.621 3.773
O -2.253 0.599 4.776
O 2.094 1.823 2.903
O 4.158 1.823 2.123
O 0.058 -0.028 4.605
O 2.316 -1.321 0.835
O 6.194 -0.028 0.421
O 1.565 -1.651 3.827
O 4.686 -1.651 1.199
O 8.504 0.599 0.250
O 3.126 -2.900 2.513
O 3.935 -1.321 4.191



! ZnRuCl2 | the Alexandria database | SCAN | single point on PBEsol structure; values from VASP
! SG	Immm
! energy above the lowest structure with this stoichiometry	0.000	eV/atom
! uncorrected formation energy	-0.24	eV/atom
! total DFT energy (no corrections)	-65.263	eV for the cell shown
&SYSTEM
  ibrav = 0, nat = 4, ntyp = 3
/
ATOMIC_SPECIES
Zn 65.41 Zn.upf
Ru 101.07 Ru.upf
Cl 35.45 Cl.upf
CELL_PARAMETERS angstrom
-1.484 2.137 6.311
1.484 -2.137 6.311
1.484 2.137 -6.311
ATOMIC_POSITIONS angstrom
Zn 0.000 0.000 0.000
Ru 0.000 0.000 6.311
Cl 1.484 0.000 4.449
Cl 0.000 2.137 1.862